# 1
{
  "formula": "Na4TbNp3S8",
  "functional": "PBE",
  "state": "optimized geometry",
  "magnetic_moment_mub_per_fu": 12.00,
  "sg": "R-3m",
  "formation_energy_uncorrected_ev_per_atom": -1.471,
  "cell": [[4.019, 2.320, 6.658], [-4.019, 2.320, 6.658], [0.000, -4.641, 6.658]],
  "species": ["Na", "Na", "Na", "Na", "Tb", "Np", "Np", "Np", "S", "S", "S", "S", "S", "S", "S", "S"],
  "frac_coords": [[0.000, 0.000, 0.000], [0.000, 0.500, 0.500], [0.500, 0.000, 0.500], [0.500, 0.500, 0.000], [0.500, 0.500, 0.500], [0.000, 0.000, 0.500], [0.000, 0.500, 0.000], [0.500, 0.000, 0.000], [0.241, 0.241, 0.241], [0.243, 0.743, 0.743], [0.257, 0.257, 0.757], [0.257, 0.757, 0.257], [0.743, 0.243, 0.743], [0.743, 0.743, 0.243], [0.757, 0.257, 0.257], [0.759, 0.759, 0.759]]
}

***

# 2
{
  "formula": "SrMg2Co",
  "functional": "PBE",
  "state": "optimized geometry",
  "formation_energy_mev_per_atom": 251,
  "magnetic_moment_mub_per_fu": 0.00,
  "sg": "R-3m",
  "cell": [[2.237, 1.292, 5.912], [-2.237, 1.292, 5.912], [0.000, -2.583, 5.912]],
  "species": ["Sr", "Mg", "Mg", "Co"],
  "frac_coords": [[0.000, 0.000, 0.000], [0.202, 0.202, 0.202], [0.798, 0.798, 0.798], [0.500, 0.500, 0.500]]
}

***

# 3
{
  "formula": "Cu2SiNi",
  "functional": "PBE",
  "state": "optimized geometry",
  "magnetic_moment_mub_per_fu": 0.00,
  "sg": "Pmm2",
  "formation_energy_uncorrected_ev_per_atom": -0.147,
  "cell": [[2.622, 0.000, 0.000], [0.000, 3.477, 0.000], [0.000, 0.000, 5.120]],
  "species": ["Cu", "Cu", "Si", "Ni"],
  "frac_coords": [[0.000, 0.000, 0.000], [0.500, 0.500, 0.242], [0.500, 0.500, 0.725], [0.000, 0.000, 0.514]]
}

***

# 4
{
  "formula": "TbHoAlNi",
  "functional": "PBE",
  "state": "optimized geometry",
  "formation_energy_mev_per_atom": -315,
  "magnetic_moment_mub_per_fu": 0.00,
  "sg": "F-43m",
  "cell": [[0.000, 3.515, 3.515], [3.515, 0.000, 3.515], [3.515, 3.515, 0.000]],
  "species": ["Tb", "Ho", "Al", "Ni"],
  "frac_coords": [[0.000, 0.000, 0.000], [0.500, 0.500, 0.500], [0.750, 0.750, 0.750], [0.250, 0.250, 0.250]]
}

***

# 5
{
  "formula": "La2ZnRu",
  "functional": "PBE",
  "state": "optimized geometry",
  "formation_energy_mev_per_atom": -65,
  "magnetic_moment_mub_per_fu": 0.00,
  "sg": "I-4m2",
  "cell": [[-2.273, 2.273, 4.345], [2.273, -2.273, 4.345], [2.273, 2.273, -4.345]],
  "species": ["La", "La", "Zn", "Ru"],
  "frac_coords": [[0.000, 0.000, 0.000], [0.750, 0.250, 0.500], [0.500, 0.500, 0.000], [0.250, 0.750, 0.500]]
}

***

# 6
{
  "formula": "LiReNi2",
  "functional": "PBE",
  "state": "optimized geometry",
  "formation_energy_mev_per_atom": 264,
  "magnetic_moment_mub_per_fu": 0.00,
  "sg": "I-4m2",
  "relative_energy_mev_per_atom": 259,
  "cell": [[-1.805, 1.805, 3.619], [1.805, -1.805, 3.619], [1.805, 1.805, -3.619]],
  "species": ["Li", "Re", "Ni", "Ni"],
  "frac_coords": [[0.000, 0.000, 0.000], [0.750, 0.250, 0.500], [0.250, 0.750, 0.500], [0.500, 0.500, 0.000]]
}

***

# 7
{
  "formula": "ZnFe2NiH",
  "functional": "PBE",
  "state": "optimized geometry",
  "magnetic_moment_mub_per_fu": 5.11,
  "sg": "P4/mmm",
  "relative_energy_mev_per_atom": 106,
  "cell": [[3.554, 0.000, 0.000], [0.000, 3.554, 0.000], [0.000, 0.000, 3.985]],
  "species": ["Zn", "Fe", "Fe", "Ni", "H"],
  "frac_coords": [[0.000, 0.000, 0.000], [0.000, 0.500, 0.500], [0.500, 0.000, 0.500], [0.500, 0.500, 0.000], [0.000, 0.000, 0.500]]
}

***

no.,density of states at the Fermi level (states/eV per atom)
1,1.7809
2,1.1784
3,0.4364
4,0.8984
5,0.9142
6,1.0629
7,0.7018